No. 1
Density functional theory data (PBE-GGA) for a geometry-optimized SrAg2F4 structure.

Cell lengths 5.4633, 5.4633, 8.2147 Å; angles 90.00, 90.00, 114.38 degrees
Element x y z (fractional)
F 0.5000 0.0000 0.7500
F 0.5000 0.0000 0.2500
F 0.2713 0.2712 0.0000
F 0.0000 0.5000 0.7500
F 0.7287 0.7288 0.0000
F 0.7288 0.7287 0.5000
F 0.0000 0.5000 0.2500
F 0.2712 0.2713 0.5000
Ag 0.1961 0.8040 0.5000
Ag 0.1960 0.8039 0.0000
Ag 0.8039 0.1960 0.5000
Ag 0.8040 0.1961 0.0000
Sr 0.5000 0.5000 0.7500
Sr 0.5000 0.5000 0.2500

Energy relative to the lowest polymorph listed for this composition: 11 meV per atom
SG: Cmmm
Uncorrected formation energy: -2.1682 eV per atom


No. 2
Density functional theory data (PBE-GGA) for a geometry-optimized TmPa2As3 structure.

Cell lengths 7.0630, 7.0630, 7.0736 Å; angles 99.60, 99.60, 120.02 degrees
Element x y z (fractional)
Pa 0.1666 0.8334 0.5000
Pa 0.3333 0.6667 0.0000
Pa 0.5001 0.4999 0.5000
Pa 0.8333 0.1667 0.5000
As 0.9154 0.5843 0.7532
As 0.0798 0.4131 0.2465
As 0.4157 0.0846 0.2468
As 0.5869 0.9202 0.7535
As 0.2510 0.2487 0.7532
As 0.7513 0.7490 0.2468
Tm 0.6667 0.3333 0.0000
Tm 0.0000 0.0000 0.0000

SG: C2/m
Calculated formation energy: -1.18 eV per atom


No. 3
Density functional theory data (PBE-GGA) for a geometry-optimized Na3Np2AlSe6 structure.

Cell lengths 7.1141, 7.1141, 7.3178 Å; angles 99.34, 99.34, 120.05 degrees
Site moments in Bohr magnetons follow the coordinates.
Element x y z (fractional)
Np 0.6668 0.3332 0.0000  3.90
Np 0.3332 0.6668 0.0000  3.90
Se 0.7645 0.7645 0.2178  -0.06
Se 0.9260 0.6155 0.7783  -0.06
Se 0.3845 0.0740 0.2217  -0.06
Se 0.0740 0.3845 0.2217  -0.06
Se 0.6155 0.9260 0.7783  -0.06
Se 0.2355 0.2355 0.7822  -0.06
Na 0.8318 0.1682 0.5000  0.00
Na 0.1682 0.8318 0.5000  0.00
Na 0.5000 0.5000 0.5000  0.00
Al 0.0000 0.0000 0.0000  0.07

SG: C2/m
Uncorrected formation energy: -1.0746 eV per atom


No. 4
Density functional theory data (PBE-GGA) for a geometry-optimized KScAg2F6 structure.

Cell lengths 6.0933, 6.2810, 8.7167 Å; angles 90.00, 89.26, 90.00 degrees
Element x y z (fractional)
F 0.7956 0.8558 0.5280
F 0.8952 0.6082 0.2109
F 0.2044 0.1442 0.4720
F 0.2956 0.6442 0.0280
F 0.6048 0.1082 0.2891
F 0.6325 0.2677 0.5967
F 0.1048 0.3918 0.7891
F 0.3952 0.8918 0.7109
F 0.3675 0.7323 0.4033
F 0.1325 0.2323 0.0967
F 0.8675 0.7677 0.9033
F 0.7044 0.3558 0.9720
Sc 0.0000 0.5000 0.0000
Sc 0.5000 0.0000 0.5000
Ag 0.0028 0.9667 0.2681
Ag 0.9972 0.0333 0.7319
Ag 0.4972 0.4667 0.2319
Ag 0.5028 0.5333 0.7681
K 0.0000 0.5000 0.5000
K 0.5000 0.0000 0.0000

SG: P2_1/c
Uncorrected formation energy: -2.5531 eV per atom


No. 5
Density functional theory data (PBE-GGA) for a geometry-optimized Tb2Si3Pt2 structure.

Cell lengths 4.1732, 6.9246, 9.0833 Å; angles 90.00, 103.28, 90.00 degrees
Element x y z (fractional)
Si 0.4401 0.9280 0.8803
Si 0.5599 0.4280 0.1197
Si 0.5599 0.0720 0.1197
Si 0.7740 0.2500 0.5480
Si 0.4401 0.5720 0.8803
Si 0.2260 0.7500 0.4520
Pt 0.6910 0.5466 0.3820
Pt 0.3090 0.4534 0.6180
Pt 0.3090 0.0466 0.6180
Pt 0.6910 0.9534 0.3820
Tb 0.8471 0.7500 0.6942
Tb 0.9447 0.2500 0.8894
Tb 0.1529 0.2500 0.3058
Tb 0.0553 0.7500 0.1106

SG: Cmcm
Uncorrected formation energy: -1.0216 eV per atom


No. 6
Density functional theory data (PBE-GGA) for a geometry-optimized AlF3 structure.

Cell lengths 3.6365, 3.6365, 3.6365 Å; angles 89.95, 89.95, 89.95 degrees
Element x y z (fractional)
F 0.0001 0.9999 0.5000
F 0.5000 0.0001 0.9999
F 0.9999 0.5000 0.0001
Al 0.0000 0.0000 0.0000

SG: Pm-3m
Uncorrected formation energy: -3.5527 eV per atom


No. 7
Density functional theory data (PBE-GGA) for a geometry-optimized Pr4GeSe2Cl structure.

Cell lengths 4.2728, 7.3596, 7.4570 Å; angles 70.83, 90.00, 90.00 degrees
Element x y z (fractional)
Ge 0.0000 0.5000 0.5000
Cl 0.5000 0.5000 0.0000
Pr 0.0000 0.7582 0.7303
Pr 0.5000 0.2542 0.7363
Pr 0.5000 0.7458 0.2637
Pr 0.0000 0.2418 0.2697
Se 0.5000 0.0000 0.5000
Se 0.0000 0.0000 0.0000

SG: P2/m
Uncorrected formation energy: -1.5535 eV per atom


No. 8
Density functional theory data (PBE-GGA) for a geometry-optimized LaTaAs4 structure.

Cell lengths 5.6304, 5.6304, 5.6304 Å; angles 60.00, 60.00, 60.00 degrees
Site moments in Bohr magnetons follow the coordinates.
Element x y z (fractional)
As 0.3734 0.8799 0.3734  0.00
As 0.3734 0.3734 0.3734  0.00
As 0.3734 0.3734 0.8799  0.00
As 0.8799 0.3734 0.3734  0.00
Ta 0.0000 0.0000 0.0000  0.06
La 0.7500 0.7500 0.7500  0.01

SG: F-43m
Calculated formation energy: 0.21 eV per atom


No. 9
Density functional theory data (PBE-GGA) for a geometry-optimized Tm8AlAg2 structure.

Cell lengths 5.2875, 8.2698, 8.2698 Å; angles 117.75, 100.24, 100.24 degrees
Element x y z (fractional)
Ag 0.0000 0.6958 0.3042
Ag 0.0000 0.3042 0.6958
Tm 0.5000 0.7783 0.2217
Tm 0.5000 0.2217 0.7783
Tm 0.8967 0.9064 0.6754
Tm 0.6937 0.3890 0.3890
Tm 0.3063 0.6110 0.6110
Tm 0.1033 0.0936 0.3246
Tm 0.8967 0.6754 0.9064
Tm 0.1033 0.3246 0.0936
Al 0.5000 0.0000 0.0000

SG: C2/m
Calculated formation energy: -0.04 eV per atom


No. 10
Density functional theory data (PBE-GGA) for a geometry-optimized K2TiTl structure.

Cell lengths 5.9369, 5.9369, 5.9369 Å; angles 60.00, 60.00, 60.00 degrees
Site moments in Bohr magnetons follow the coordinates.
Element x y z (fractional)
K 0.2500 0.2500 0.2500  0.01
K 0.7500 0.7500 0.7500  0.01
Ti 0.0000 0.0000 0.0000  -0.15
Tl 0.5000 0.5000 0.5000  0.02

Energy relative to the lowest polymorph listed for this composition: 244 meV per atom
SG: Fm-3m
Calculated formation energy: 0.95 eV per atom


No. 11
Density functional theory data (PBE-GGA) for a geometry-optimized Sr2Mg6Cd9 structure.

Cell lengths 6.0824, 6.0824, 14.5482 Å; angles 90.00, 90.00, 120.00 degrees
Element x y z (fractional)
Mg 0.6667 0.3333 0.6640
Mg 0.3333 0.6667 0.3360
Mg 0.3333 0.6667 0.0000
Mg 0.6667 0.3333 0.0000
Mg 0.6667 0.3333 0.3360
Mg 0.3333 0.6667 0.6640
Cd 0.0000 0.5000 0.8316
Cd 0.5000 0.0000 0.5000
Cd 0.5000 0.0000 0.1684
Cd 0.5000 0.0000 0.8316
Cd 0.5000 0.5000 0.8316
Cd 0.0000 0.5000 0.5000
Cd 0.0000 0.5000 0.1684
Cd 0.5000 0.5000 0.5000
Cd 0.5000 0.5000 0.1684
Sr 0.0000 0.0000 0.6578
Sr 0.0000 0.0000 0.3422

SG: P6/mmm
Calculated formation energy: -0.09 eV per atom


No. 12
Density functional theory data (PBE-GGA) for a geometry-optimized Pm2TmHf structure.

Cell lengths 4.8261, 4.9271, 4.9271 Å; angles 90.00, 90.00, 90.00 degrees
Element x y z (fractional)
Hf 0.5000 0.0000 0.0000
Tm 0.5000 0.5000 0.5000
Pm 0.0000 0.0000 0.5000
Pm 0.0000 0.5000 0.0000

Energy relative to the lowest polymorph listed for this composition: 5 meV per atom
SG: P4/mmm
Calculated formation energy: 0.16 eV per atom